DFT (GGA-PBE) results for an optimized crystal structure of DyAsOsO.

Calculated values
Calculated volume in Å³ per atom: 16.2
Electronic total energy in eV per cell: -59.5
Size of the total moment in μB/cell: 0.0

Cell and atoms, written as POSCAR:
```
DyAsOsO
1.0
4.218 0.000 0.000
0.000 4.264 0.000
0.000 0.000 7.201
Dy As Os O
2 2 2 2
Cartesian
0.000 1.029 0.000
0.000 3.235 3.600
2.109 1.008 4.871
2.109 3.256 1.271
2.109 1.100 2.463
2.109 3.164 6.063
0.000 1.300 2.320
0.000 2.964 5.921
```